An optimized crystal structure of ZrCu2Os2, computed with PBE.

Cell and atoms, written as extended XYZ:
```
10
Lattice="3.696 0.000 0.000 0.000 3.696 0.000 0.000 0.000 11.449" Properties=species:S:1:pos:R:3 pbc="T T T"
Zr 0.000 0.000 0.000
Zr 1.848 1.848 5.724
Cu 0.000 0.000 4.594
Cu 0.000 0.000 6.855
Cu 1.848 1.848 1.130
Cu 1.848 1.848 10.318
Os 0.000 1.848 2.862
Os 0.000 1.848 8.586
Os 1.848 0.000 2.862
Os 1.848 0.000 8.586
```

## Properties
Distance to the lowest polymorph of the same formula (kJ/mol of formula units): 0
Space group: No. 139
Spin magnetization (μB per formula unit): 0.00
Energy of formation (eV/atom): 0.22

***

An optimized crystal structure of ZrCu2Os, computed with PBE.

Cell and atoms, written as extended XYZ:
```
8
Lattice="9.191 0.000 0.000 0.000 2.772 0.000 -0.933 0.000 4.739" Properties=species:S:1:pos:R:3 pbc="T T T"
Zr 0.000 0.000 0.000
Zr 4.596 1.386 0.000
Cu -0.417 1.386 2.397
Cu 1.546 0.000 3.452
Cu 4.179 0.000 2.397
Cu 6.142 1.386 3.452
Os 2.191 1.386 1.285
Os 6.787 0.000 1.285
```

## Properties
Distance to the lowest polymorph of the same formula (kJ/mol of formula units): 85
Space group: No. 8
Spin magnetization (μB per formula unit): 0.00
Energy of formation (eV/atom): 0.14

***

An optimized crystal structure of ZrCuOs2, computed with PBE.

Cell and atoms, written as extended XYZ:
```
8
Lattice="3.164 0.000 0.000 0.000 4.578 0.000 0.000 0.000 8.624" Properties=species:S:1:pos:R:3 pbc="T T T"
Zr 0.000 0.000 0.000
Zr 1.582 2.289 0.000
Cu 0.000 0.000 4.312
Cu 1.582 2.289 4.312
Os 0.000 2.289 2.237
Os 0.000 2.289 6.387
Os 1.582 0.000 2.237
Os 1.582 0.000 6.387
```

## Properties
Distance to the lowest polymorph of the same formula (kJ/mol of formula units): 120
Space group: No. 65
Spin magnetization (μB per formula unit): 0.00
Energy of formation (eV/atom): 0.31

***

An optimized crystal structure of ZrCu2Os, computed with PBE.

Cell and atoms, written as extended XYZ:
```
4
Lattice="3.830 0.000 0.000 0.000 3.830 0.000 0.000 0.000 4.093" Properties=species:S:1:pos:R:3 pbc="T T T"
Zr 0.000 0.000 0.000
Cu 0.000 1.915 2.046
Cu 1.915 0.000 2.046
Os 1.915 1.915 0.000
```

## Properties
Distance to the lowest polymorph of the same formula (kJ/mol of formula units): 7
Space group: No. 123
Spin magnetization (μB per formula unit): 0.00
Energy of formation (eV/atom): -0.06

***

An optimized crystal structure of ZrCuOs2, computed with PBE.

Cell and atoms, written as extended XYZ:
```
8
Lattice="10.074 0.000 0.000 0.000 2.977 0.000 -2.017 0.000 4.162" Properties=species:S:1:pos:R:3 pbc="T T T"
Zr 0.000 0.000 0.000
Zr 5.037 1.488 0.000
Cu 0.684 0.000 3.593
Cu 5.721 1.488 3.593
Os -0.983 1.488 2.057
Os 1.874 1.488 1.636
Os 4.054 0.000 2.057
Os 6.911 0.000 1.636
```

## Properties
Distance to the lowest polymorph of the same formula (kJ/mol of formula units): 36
Space group: No. 8
Spin magnetization (μB per formula unit): 0.00
Energy of formation (eV/atom): 0.09

***

An optimized crystal structure of CuP3, computed with PBE.

Cell and atoms, written as extended XYZ:
```
8
Lattice="3.291 0.000 0.000 0.000 3.566 0.000 0.000 0.000 10.796" Properties=species:S:1:pos:R:3 pbc="T T T"
Cu 0.000 0.000 0.000
Cu 1.646 1.783 0.000
P 0.000 0.000 5.398
P 0.000 1.783 2.045
P 0.000 1.783 8.751
P 1.646 0.000 2.045
P 1.646 0.000 8.751
P 1.646 1.783 5.398
```

## Properties
Distance to the lowest polymorph of the same formula (kJ/mol of formula units): 111
Space group: No. 65
Spin magnetization (μB per formula unit): 0.00
Energy of formation (eV/atom): 0.45

***

An optimized crystal structure of Cu4P, computed with PBE.

Cell and atoms, written as extended XYZ:
```
10
Lattice="3.277 0.000 0.000 0.000 3.277 0.000 0.000 0.000 12.736" Properties=species:S:1:pos:R:3 pbc="T T T"
Cu 0.000 0.000 1.209
Cu 0.000 0.000 11.526
Cu 0.000 1.638 3.184
Cu 0.000 1.638 9.552
Cu 1.638 0.000 3.184
Cu 1.638 0.000 9.552
Cu 1.638 1.638 5.158
Cu 1.638 1.638 7.577
P 0.000 0.000 6.368
P 1.638 1.638 0.000
```

## Properties
Space group: No. 139
Spin magnetization (μB per formula unit): 0.00
Energy of formation (eV/atom): 0.35

***

An optimized crystal structure of CuP2, computed with PBE.

Cell and atoms, written as extended XYZ:
```
3
Lattice="2.671 0.000 0.000 -1.336 2.313 0.000 0.000 0.000 7.706" Properties=species:S:1:pos:R:3 pbc="T T T"
Cu 0.000 0.000 0.000
P 0.000 1.542 5.726
P 1.336 0.771 1.981
```

## Properties
Space group: No. 164
Spin magnetization (μB per formula unit): 0.00
Energy of formation (eV/atom): 0.41

***

An optimized crystal structure of CuP3, computed with PBE.

Cell and atoms, written as extended XYZ:
```
8
Lattice="4.856 0.000 0.000 0.000 4.856 0.000 0.000 0.000 4.856" Properties=species:S:1:pos:R:3 pbc="T T T"
Cu 0.000 0.000 0.000
Cu 2.428 2.428 2.428
P 0.000 1.214 2.428
P 0.000 3.642 2.428
P 1.214 2.428 0.000
P 2.428 0.000 1.214
P 2.428 0.000 3.642
P 3.642 2.428 0.000
```

## Properties
Distance to the lowest polymorph of the same formula (kJ/mol of formula units): 203
Space group: No. 223
Spin magnetization (μB per formula unit): 0.00
Energy of formation (eV/atom): 0.69

***

An optimized crystal structure of CuP, computed with PBE.

Cell and atoms, written as extended XYZ:
```
4
Lattice="2.535 0.000 0.000 0.000 3.585 0.000 -1.259 0.000 6.185" Properties=species:S:1:pos:R:3 pbc="T T T"
Cu 0.004 0.896 2.344
Cu 1.272 2.689 3.841
P 0.006 0.896 4.972
P 1.271 2.689 1.213
```

## Properties
Space group: No. 11
Spin magnetization (μB per formula unit): 0.00
Energy of formation (eV/atom): 0.16

***

An optimized crystal structure of CuP, computed with PBE.

Cell and atoms, written as extended XYZ:
```
16
Lattice="7.082 0.000 0.000 0.000 7.082 0.000 0.000 0.000 7.082" Properties=species:S:1:pos:R:3 pbc="T T T"
Cu 1.186 1.186 5.896
Cu 1.186 5.896 1.186
Cu 2.355 2.355 2.355
Cu 2.355 4.727 4.727
Cu 4.727 2.355 4.727
Cu 4.727 4.727 2.355
Cu 5.896 1.186 1.186
Cu 5.896 5.896 5.896
P 1.101 1.101 1.101
P 1.101 5.981 5.981
P 2.440 2.440 4.642
P 2.440 4.642 2.440
P 4.642 2.440 2.440
P 4.642 4.642 4.642
P 5.981 1.101 5.981
P 5.981 5.981 1.101
```

## Properties
Space group: No. 217
Spin magnetization (μB per formula unit): 0.00
Energy of formation (eV/atom): 0.38

***

An optimized crystal structure of CuP2, computed with PBE.

Cell and atoms, written as extended XYZ:
```
12
Lattice="5.939 0.000 0.000 0.000 5.939 0.000 0.000 0.000 4.931" Properties=species:S:1:pos:R:3 pbc="T T T"
Cu 0.000 0.000 1.233
Cu 0.000 0.000 3.698
Cu 2.969 2.969 1.233
Cu 2.969 2.969 3.698
P 0.764 2.205 0.000
P 0.764 3.734 2.465
P 2.205 0.764 2.465
P 2.205 5.174 0.000
P 3.734 0.764 0.000
P 3.734 5.174 2.465
P 5.174 2.205 2.465
P 5.174 3.734 0.000
```

## Properties
Space group: No. 140
Spin magnetization (μB per formula unit): 0.00
Energy of formation (eV/atom): 0.33